The following is a PBE-GGA calculation of a relaxed structure of Y5MgSc4, from Alexandria via LeMat-Bulk.

Its total energy is -58.950 eV for the cell shown. The formation energy comes out at 0.29 eV per formula unit.

The space group is P4/mmm (No. 123) and the conventional cell measures 3.4979, 3.4979 and 23.0793 Å, with angles of 90.00, 90.00 and 90.00 degrees. Symmetry generates all atoms from Y at (0.0000, 0.0000, 0.0000), Y at (0.0000, 0.0000, 0.2011), Y at (0.0000, 0.0000, 0.4016), Mg at (0.5000, 0.5000, 0.5000), Sc at (0.5000, 0.5000, 0.1007) and Sc at (0.5000, 0.5000, 0.3021).

The following is a PBE-GGA calculation of a relaxed structure of Sr6Si2Pb, from Alexandria via LeMat-Bulk.

Its total energy is -112.289 eV for the cell shown.

The space group is Immm (No. 71) and the conventional cell measures 10.5395, 10.7864 and 11.4994 Å, with angles of 90.00, 90.00 and 90.00 degrees. Symmetry generates all atoms from Sr at (0.0000, 0.1980, 0.2439), Sr at (0.1827, 0.5000, 0.1693), Sr at (0.2194, 0.3196, 0.5000), Si at (0.0000, 0.3366, 0.0000), Si at (0.0000, 0.5000, 0.3919), Pb at (0.0000, 0.0000, 0.0000) and Pb at (0.0000, 0.0000, 0.5000).

The following is a PBE-GGA calculation of a relaxed structure of GaBPt3, from Alexandria via LeMat-Bulk.

Its total energy is -179.662 eV for the cell shown. The formation energy comes out at -2.12 eV per formula unit.

The space group is R32 (No. 155, hexagonal axes) and the conventional cell measures 5.6336, 5.6336 and 16.3989 Å, with angles of 90.00, 90.00 and 120.00 degrees. Symmetry generates all atoms from Ga at (0.0000, 0.0000, 0.1109), B at (0.0000, 0.0000, 0.3323) and Pt at (0.0027, 0.4433, 0.0861).